DFT (GGA-PBE) results for crystalline Pm5Nd4Er2 at its relaxed geometry.

Values from the calculation:
density of states at the Fermi level	27.936	states/eV per cell
calculated density	7.057	g cm⁻³
ΔH_f (0 K)	0.199	eV per atom
magnetic moment	0.00	μB per formula unit

Cell: 3.5723 11.6246 18.5454 Å, 90.00 90.00 90.00°
Space group Immm (No. 71)
Inequivalent atoms, fractional coordinates:
Pm  0.0000  0.0000  0.0000 (multiplicity 2)
Pm  0.0000  0.2086  0.3204 (multiplicity 8)
Nd  0.0000  0.2394  0.5000 (multiplicity 4)
Nd  0.0000  0.5000  0.0900 (multiplicity 4)
Er  0.0000  0.5000  0.2959 (multiplicity 4)

DFT (GGA-PBE) results for crystalline BaPmZnAu at its relaxed geometry.

Values from the calculation:
density of states at the Fermi level	13.353	states/eV per cell
calculated density	7.868	g cm⁻³
ΔH_f (0 K)	-0.347	eV per atom
magnetic moment	0.00	μB per formula unit

Cell: 7.7184 7.7184 7.7184 Å, 90.00 90.00 90.00°
Space group F-43m (No. 216)
Inequivalent atoms, fractional coordinates:
Ba  0.0000  0.0000  0.0000 (multiplicity 4)
Pm  0.0000  0.0000  0.5000 (multiplicity 4)
Zn  0.2500  0.2500  0.2500 (multiplicity 4)
Au  0.2500  0.2500  0.7500 (multiplicity 4)